(1)
The following is a PBE calculation of a relaxed Sr3ScBr crystal, from the Alexandria database.

Unit cell a=6.4468 b=6.4468 c=6.4468 alpha=90.00 beta=90.00 gamma=90.00
Closest atoms and distances in Å follow each position.
Space group Pm-3m (No. 221)
Asymmetric unit:
Sr: 0.0000 0.0000 0.5000 x3  2 Sc 3.22
Sc: 0.0000 0.0000 0.0000 x1  6 Sr 3.22
Br: 0.5000 0.5000 0.5000 x1  12 Sr 4.56

Values from the calculation:
- uncorrected energy (eV for the cell shown) = -11.54
- distance to the lowest polymorph of the same formula (eV per atom) = 0.470
- N(E_F) (states/eV/f.u.) = 4.09
- spin magnetization (μB/cell) = 3.7


(2)
The following is a PBE calculation of a relaxed SrSc2Br crystal, from the Alexandria database.

Unit cell a=5.3800 b=5.3800 c=19.6829 alpha=90.00 beta=90.00 gamma=90.00
Closest atoms and distances in Å follow each position.
Space group I4_1/amd (No. 141, origin choice 2)
Asymmetric unit:
Sr: 0.0000 0.2500 0.3750 x4  4 Br 3.80, 8 Sc 3.89
Sc: 0.0000 0.0000 0.0000 x8  2 Sc 2.69, 2 Br 2.80
Br: 0.0000 0.2500 0.8750 x4  4 Sc 2.80

Values from the calculation:
- uncorrected energy (eV for the cell shown) = -61.66
- distance to the lowest polymorph of the same formula (eV per atom) = 0.589
- N(E_F) (states/eV/f.u.) = 4.37
- spin magnetization (μB/cell) = 0.0


(3)
The following is a PBE calculation of a relaxed SrSc2Br crystal, from the Alexandria database.

Unit cell a=5.6611 b=5.6611 c=3.6969 alpha=90.00 beta=90.00 gamma=90.00
Closest atoms and distances in Å follow each position.
Space group P4/mmm (No. 123)
Asymmetric unit:
Sr: 0.0000 0.0000 0.0000 x1  8 Sc 3.38, 2 Sr 3.70
Sc: 0.0000 0.5000 0.5000 x2  4 Br 3.38, 4 Sr 3.38, 2 Sc 3.70
Br: 0.5000 0.5000 0.0000 x1  8 Sc 3.38, 2 Br 3.70

Values from the calculation:
- uncorrected energy (eV for the cell shown) = -15.22
- distance to the lowest polymorph of the same formula (eV per atom) = 0.637
- N(E_F) (states/eV/f.u.) = 5.20
- spin magnetization (μB/cell) = 0.0


no.,formation energy from raw total energies (meV/atom)
1,301.5
2,150.5
3,198.5